(1)
{"formula": "Nb2TlHg", "functional": "PBE", "state": "optimized geometry", "density_g_cm3": 12.0, "energy_ev_per_atom": -5.0287, "total_magnetization_mub_per_fu": 0.02, "cell": [[0.0000, 3.4450, 3.4450], [3.4450, 0.0000, 3.4450], [3.4450, 3.4450, 0.0000]], "species": ["Nb", "Nb", "Tl", "Hg"], "fractional_positions": [[0.0000, 0.0000, 0.0000], [0.2500, 0.2500, 0.2500], [0.5000, 0.5000, 0.5000], [0.7500, 0.7500, 0.7500]]}

(2)
{"formula": "NbTlHg", "functional": "PBE", "state": "optimized geometry", "density_g_cm3": 11.2, "energy_ev_per_atom": -3.3509, "total_magnetization_mub_per_fu": 1.91, "cell": [[0.0000, 3.3338, 3.3338], [3.3338, 0.0000, 3.3338], [3.3338, 3.3338, 0.0000]], "species": ["Nb", "Tl", "Hg"], "fractional_positions": [[0.0000, 0.0000, 0.0000], [0.5000, 0.5000, 0.5000], [0.2500, 0.2500, 0.2500]]}

(3)
{"formula": "NbTlHg", "functional": "PBE", "state": "optimized geometry", "density_g_cm3": 11.0, "energy_ev_per_atom": -3.4655, "total_magnetization_mub_per_fu": 0.17, "cell": [[0.0000, 3.3514, 3.3514], [3.3514, 0.0000, 3.3514], [3.3514, 3.3514, 0.0000]], "species": ["Nb", "Tl", "Hg"], "fractional_positions": [[0.0000, 0.0000, 0.0000], [0.7500, 0.7500, 0.7500], [0.2500, 0.2500, 0.2500]]}

(4)
{"formula": "TmNbHg", "functional": "PBE", "state": "optimized geometry", "density_g_cm3": 9.6, "formation_enthalpy_0k_ev_per_atom": 0.919, "energy_ev_per_atom": -4.0367, "total_magnetization_mub_per_fu": 2.92, "cell": [[0.0000, 3.4249, 3.4249], [3.4249, 0.0000, 3.4249], [3.4249, 3.4249, 0.0000]], "species": ["Tm", "Nb", "Hg"], "fractional_positions": [[0.0000, 0.0000, 0.0000], [0.2500, 0.2500, 0.2500], [0.7500, 0.7500, 0.7500]]}